VASP calculation (PBE) on a relaxed TlBiN2 crystal.

a = 5.3834 Å, b = 5.3834 Å, c = 11.0243 Å
α = 90.00°, β = 90.00°, γ = 90.00°
Space group I-42d (No. 122)
Inequivalent atoms, fractional coordinates:
Tl 0.0000 0.0000 0.0000 [4 per cell]
Bi 0.0000 0.0000 0.5000 [4 per cell]
N 0.2454 0.2500 0.1250 [8 per cell]

Relative energy among the computed polymorphs (meV per atom): 836


VASP calculation (PBE) on a relaxed Ru3Rh crystal.

a = 4.3189 Å, b = 5.4557 Å, c = 4.7342 Å
α = 90.00°, β = 90.00°, γ = 90.00°
Space group Pmmn (No. 59, origin choice 2)
Inequivalent atoms, fractional coordinates:
Ru 0.2500 0.0003 0.1660 [4 per cell]
Ru 0.2500 0.2500 0.6690 [2 per cell]
Rh 0.2500 0.7500 0.6636 [2 per cell]

DFT formation energy (eV/atom): 0.004


VASP calculation (PBE) on a relaxed Cs2KNa2Hg2 crystal.

a = 13.4737 Å, b = 5.6349 Å, c = 10.8968 Å
α = 90.00°, β = 114.90°, γ = 90.00°
Space group C2/m (No. 12)
Inequivalent atoms, fractional coordinates:
Cs 0.0919 0.0000 0.3606 [4 per cell]
K 0.0000 0.5000 0.0000 [2 per cell]
Na 0.2448 0.5000 0.9028 [4 per cell]
Hg 0.2293 0.0000 0.7602 [4 per cell]

DFT formation energy (eV/atom): -0.124


VASP calculation (PBE) on a relaxed ReAgB2F crystal.

a = 4.0223 Å, b = 4.0223 Å, c = 5.5384 Å
α = 90.00°, β = 90.00°, γ = 90.00°
Space group P4/mmm (No. 123)
Inequivalent atoms, fractional coordinates:
Re 0.0000 0.0000 0.0000 [1 per cell]
Ag 0.0000 0.0000 0.5000 [1 per cell]
B 0.0000 0.5000 0.5000 [2 per cell]
F 0.5000 0.5000 0.0000 [1 per cell]

Calculated total energy (eV per atom): -4.178


VASP calculation (PBE) on a relaxed AcAlCdAg6 crystal.

a = 6.1020 Å, b = 8.5905 Å, c = 15.3993 Å
α = 90.00°, β = 90.00°, γ = 90.00°
Space group Imma (No. 74)
Inequivalent atoms, fractional coordinates:
Ac 0.0000 0.2500 0.0103 [4 per cell]
Al 0.2500 0.2500 0.2500 [4 per cell]
Cd 0.0000 0.0000 0.5000 [4 per cell]
Ag 0.0000 0.2500 0.3865 [4 per cell]
Ag 0.0000 0.2500 0.7490 [4 per cell]
Ag 0.2362 0.0210 0.8458 [16 per cell]

DFT formation energy (eV/atom): -0.054


VASP calculation (PBE) on a relaxed As2HPdBr crystal.

a = 4.8070 Å, b = 4.8070 Å, c = 5.5768 Å
α = 90.00°, β = 90.00°, γ = 90.00°
Space group P4/mmm (No. 123)
Inequivalent atoms, fractional coordinates:
As 0.0000 0.5000 0.0000 [2 per cell]
H 0.0000 0.0000 0.5000 [1 per cell]
Pd 0.5000 0.5000 0.0000 [1 per cell]
Br 0.5000 0.5000 0.5000 [1 per cell]

Relative energy among the computed polymorphs (meV per atom): 269


VASP calculation (PBE) on a relaxed K2NpSnS4 crystal.

a = 7.2992 Å, b = 4.1339 Å, c = 7.6040 Å
α = 90.00°, β = 107.76°, γ = 90.00°
Space group P2/m (No. 10)
Inequivalent atoms, fractional coordinates:
K 0.0000 0.0000 0.0000 [1 per cell]
K 0.5000 0.5000 0.0000 [1 per cell]
Np 0.0000 0.5000 0.5000 [1 per cell]
Sn 0.5000 0.0000 0.5000 [1 per cell]
S 0.2179 0.0000 0.6989 [2 per cell]
S 0.2426 0.5000 0.2982 [2 per cell]

Calculated total energy (eV per atom): -5.583


VASP calculation (PBE) on a relaxed Tb2Nd12Sm5 crystal.

a = 18.6853 Å, b = 7.2014 Å, c = 10.6042 Å
α = 90.00°, β = 111.30°, γ = 90.00°
Space group C2/m (No. 12)
Inequivalent atoms, fractional coordinates:
Tb 0.0000 0.2236 0.0000 [4 per cell]
Nd 0.0008 0.0000 0.3232 [4 per cell]
Nd 0.0263 0.5000 0.2457 [4 per cell]
Nd 0.1603 0.2531 0.8692 [8 per cell]
Nd 0.1668 0.2479 0.5251 [8 per cell]
Sm 0.0000 0.5000 0.5000 [2 per cell]
Sm 0.1738 0.0000 0.2088 [4 per cell]
Sm 0.1861 0.5000 0.1851 [4 per cell]

Relative energy among the computed polymorphs (meV per atom): 43
DFT formation energy (eV/atom): 0.165


VASP calculation (PBE) on a relaxed KRbC3 crystal.

a = 5.6269 Å, b = 5.6269 Å, c = 5.6269 Å
α = 90.00°, β = 90.00°, γ = 90.00°
Space group Pm-3m (No. 221)
Inequivalent atoms, fractional coordinates:
K 0.0000 0.0000 0.0000 [1 per cell]
Rb 0.5000 0.5000 0.5000 [1 per cell]
C 0.0000 0.0000 0.5000 [3 per cell]

Relative energy among the computed polymorphs (meV per atom): 0
DFT formation energy (eV/atom): 3.375


VASP calculation (PBE) on a relaxed Ba12Zn6In crystal.

a = 11.7512 Å, b = 11.7512 Å, c = 11.7512 Å
α = 90.00°, β = 90.00°, γ = 90.00°
Space group Im-3 (No. 204)
Inequivalent atoms, fractional coordinates:
Ba 0.0000 0.1866 0.2929 [24 per cell]
Zn 0.0000 0.3883 0.5000 [12 per cell]
In 0.0000 0.0000 0.0000 [2 per cell]

Relative energy among the computed polymorphs (meV per atom): 0
DFT formation energy (eV/atom): -0.121


VASP calculation (PBE) on a relaxed Ac5La2Pr2 crystal.

a = 18.0193 Å, b = 9.4411 Å, c = 8.9260 Å
α = 90.00°, β = 90.00°, γ = 90.00°
Space group Cmce (No. 64)
Inequivalent atoms, fractional coordinates:
Ac 0.0000 0.0000 0.0000 [4 per cell]
Ac 0.1388 0.1954 0.3112 [16 per cell]
La 0.2184 0.0000 0.0000 [8 per cell]
Pr 0.0000 0.1228 0.6191 [8 per cell]

Relative energy among the computed polymorphs (meV per atom): 200
DFT formation energy (eV/atom): 0.227


VASP calculation (PBE) on a relaxed ThZrPd4 crystal.

a = 7.5051 Å, b = 4.5773 Å, c = 13.6390 Å
α = 90.00°, β = 90.00°, γ = 90.00°
Space group Pnma (No. 62)
Inequivalent atoms, fractional coordinates:
Th 0.2325 0.2500 0.2271 [4 per cell]
Zr 0.2223 0.7500 0.4559 [4 per cell]
Pd 0.0314 0.2500 0.7949 [4 per cell]
Pd 0.0454 0.7500 0.9358 [4 per cell]
Pd 0.0462 0.2500 0.4014 [4 per cell]
Pd 0.1892 0.2500 0.5947 [4 per cell]

DFT formation energy (eV/atom): -0.698


Copy entry 11 word for word.
VASP calculation (PBE) on a relaxed Ac5La2Pr2 crystal.

a = 18.0193 Å, b = 9.4411 Å, c = 8.9260 Å
α = 90.00°, β = 90.00°, γ = 90.00°
Space group Cmce (No. 64)
Inequivalent atoms, fractional coordinates:
Ac 0.0000 0.0000 0.0000 [4 per cell]
Ac 0.1388 0.1954 0.3112 [16 per cell]
La 0.2184 0.0000 0.0000 [8 per cell]
Pr 0.0000 0.1228 0.6191 [8 per cell]

Relative energy among the computed polymorphs (meV per atom): 200
DFT formation energy (eV/atom): 0.227